Density functional theory data (PBE-GGA) for a relaxed structure of CeNdSnN.

Computed properties:
- theoretical density (g cm⁻³) = 6.86
- D(E_F) (states/eV/cell) = 3.4
- formation energy (no corrections) (eV/f.u.) = -4.12
- electronic total energy (eV per atom) = -6.79
- calculated volume (Å³/atom) = 25.23

The structure in POSCAR format:
```
CeNdSnN
1.0
-2.387 -3.721 -1.675
4.032 -1.852 -1.632
1.202 -4.303 7.849
Sn Nd N Ce
2 2 2 2
Direct
0.500 0.000 0.198
0.000 0.500 0.802
0.000 0.000 0.500
0.500 0.500 0.500
0.500 0.000 0.594
0.000 0.500 0.406
0.000 0.500 0.173
0.500 0.000 0.827
```